The following is a DFT calculation (GGA+U) of a geometry-optimized AgMoIO6 structure. Values from VASP.

```
&SYSTEM
  ibrav = 0, nat = 18, ntyp = 4
/
ATOMIC_SPECIES
Ag 107.87 Ag.upf
Mo 95.94 Mo.upf
I 126.90 I.upf
O 16.00 O.upf
CELL_PARAMETERS angstrom
-1.5229 1.8975 4.8584
-3.5927 -2.5777 -3.1578
2.6109 -8.8994 4.2942
ATOMIC_POSITIONS crystal
Ag 0.0000 0.0000 0.0000
Ag 0.0000 0.0000 0.5000
Mo 0.3333 0.6667 0.2500
Mo 0.6667 0.3333 0.7500
I 0.6667 0.3333 0.2500
I 0.3333 0.6667 0.7500
O 0.6139 0.6305 0.1422
O 0.0165 0.3861 0.1422
O 0.3861 0.0165 0.6422
O 0.9835 0.6139 0.8578
O 0.3695 0.3861 0.3578
O 0.0165 0.6305 0.3578
O 0.6305 0.0165 0.8578
O 0.6139 0.9835 0.3578
O 0.9835 0.3695 0.6422
O 0.3695 0.9835 0.1422
O 0.6305 0.6139 0.6422
O 0.3861 0.3695 0.8578
```

Properties
volume	14.518	Å³ per atom
final energy	-95.1	eV per cell